This record from the Alexandria database describes an optimized crystal structure of SmDyBiS. The functional is GGA-PBE.

abc: 4.153 4.151 7.643
angles: 90.00 105.77 119.98
Atoms (fractional coordinates):
Sm (0.947, 0.371, 0.334)
Dy (0.329, 0.563, 0.907)
Bi (0.475, 0.135, 0.625)
S (0.127, 0.961, 0.104)

Calculated values
- symmetry = R3m (160)
- N(E_F) (states/eV/cell) = 3.6

---

This record from the Alexandria database describes an optimized crystal structure of Dy2Tl3BiS6. The functional is GGA-PBE.

abc: 7.055 7.055 7.853
angles: 98.61 98.61 119.99
Atoms (fractional coordinates):
Dy (0.333, 0.667, 0.000)
Dy (0.667, 0.333, 0.000)
Tl (0.166, 0.834, 0.500)
Tl (0.834, 0.166, 0.500)
Tl (0.500, 0.500, 0.500)
Bi (0.000, 0.000, 0.000)
S (0.933, 0.591, 0.799)
S (0.725, 0.725, 0.201)
S (0.067, 0.409, 0.201)
S (0.591, 0.933, 0.799)
S (0.275, 0.275, 0.799)
S (0.409, 0.067, 0.201)

Calculated values
- symmetry = C2/m (12)

---

This record from the Alexandria database describes an optimized crystal structure of DyYBiS. The functional is GGA-PBE.

abc: 4.052 4.051 7.703
angles: 90.00 105.26 119.99
Atoms (fractional coordinates):
Dy (0.332, 0.564, 0.911)
Y (0.942, 0.369, 0.327)
Bi (0.472, 0.134, 0.621)
S (0.132, 0.964, 0.111)

Calculated values
- symmetry = R3m (160)
- N(E_F) (states/eV/cell) = 2.9

---

This record from the Alexandria database describes an optimized crystal structure of Dy4BiSb. The functional is GGA-PBE.

abc: 6.391 8.913 8.031
angles: 113.06 99.80 114.22
Atoms (fractional coordinates):
Dy (0.083, 0.200, 0.806)
Dy (0.762, 0.712, 0.612)
Dy (0.223, 0.606, 0.806)
Dy (0.350, 0.900, 0.612)
Dy (0.650, 0.100, 0.388)
Dy (0.777, 0.394, 0.194)
Dy (0.238, 0.288, 0.388)
Dy (0.917, 0.800, 0.194)
Bi (0.358, 0.608, 0.215)
Bi (0.642, 0.392, 0.785)
Sb (0.253, 0.003, 0.006)
Sb (0.747, 0.997, 0.994)

Calculated values
- symmetry = C2/c (15)
- N(E_F) (states/eV/cell) = 14.3

---

This record from the Alexandria database describes an optimized crystal structure of Dy5BiSb2. The functional is GGA-PBE.

abc: 6.096 6.972 14.000
angles: 90.00 90.00 115.92
Atoms (fractional coordinates):
Dy (0.943, 0.885, 0.891)
Dy (0.943, 0.885, 0.609)
Dy (0.374, 0.749, 0.443)
Dy (0.374, 0.749, 0.057)
Dy (0.662, 0.323, 0.250)
Dy (0.338, 0.677, 0.750)
Dy (0.626, 0.251, 0.557)
Dy (0.626, 0.251, 0.943)
Dy (0.057, 0.115, 0.109)
Dy (0.057, 0.115, 0.391)
Bi (0.751, 0.503, 0.750)
Bi (0.249, 0.497, 0.250)
Sb (0.818, 0.636, 0.420)
Sb (0.818, 0.636, 0.080)
Sb (0.182, 0.364, 0.580)
Sb (0.182, 0.364, 0.920)

Calculated values
- symmetry = Cmcm (63)
- N(E_F) (states/eV/cell) = 15.9

---

This record from the Alexandria database describes an optimized crystal structure of Dy4BiSb2. The functional is GGA-PBE.

abc: 8.325 8.325 8.332
angles: 109.05 109.06 110.28
Atoms (fractional coordinates):
Dy (0.933, 0.246, 0.315)
Dy (0.318, 0.504, 0.185)
Dy (0.932, 0.618, 0.685)
Dy (0.754, 0.068, 0.686)
Dy (0.382, 0.068, 0.314)
Dy (0.318, 0.132, 0.814)
Dy (0.496, 0.683, 0.815)
Dy (0.868, 0.682, 0.185)
Bi (0.250, 0.750, 0.500)
Bi (0.000, 0.000, 0.000)
Sb (0.625, 0.375, 0.750)
Sb (0.625, 0.875, 0.250)
Sb (0.625, 0.375, 0.250)
Sb (0.125, 0.375, 0.750)

Calculated values
- symmetry = I4_1/amd (141)
- N(E_F) (states/eV/cell) = 13.7

---

This record from the Alexandria database describes an optimized crystal structure of Dy10Bi3Sb3. The functional is GGA-PBE.

abc: 6.343 9.077 9.077
angles: 120.00 90.00 90.00
Atoms (fractional coordinates):
Dy (0.246, 0.667, 0.333)
Dy (0.246, 0.333, 0.667)
Dy (0.754, 0.333, 0.667)
Dy (0.754, 0.667, 0.333)
Dy (0.500, 0.000, 0.755)
Dy (0.500, 0.755, 0.000)
Dy (0.500, 0.245, 0.245)
Dy (0.000, 0.000, 0.246)
Dy (0.000, 0.246, 0.000)
Dy (0.000, 0.754, 0.754)
Bi (0.500, 0.000, 0.391)
Bi (0.500, 0.391, 0.000)
Bi (0.500, 0.609, 0.609)
Sb (0.000, 0.000, 0.612)
Sb (0.000, 0.612, 0.000)
Sb (0.000, 0.388, 0.388)

Calculated values
- symmetry = P-62m (189)
- N(E_F) (states/eV/cell) = 16.0

---

This record from the Alexandria database describes an optimized crystal structure of Dy3BiSb. The functional is GGA-PBE.

abc: 4.313 9.961 7.825
angles: 83.06 90.00 102.50
Atoms (fractional coordinates):
Dy (0.821, 0.643, 0.441)
Dy (0.306, 0.611, 0.839)
Dy (0.992, 0.985, 0.737)
Dy (0.179, 0.357, 0.559)
Dy (0.008, 0.015, 0.263)
Dy (0.694, 0.389, 0.161)
Bi (0.875, 0.749, 0.052)
Bi (0.125, 0.251, 0.948)
Sb (0.580, 0.160, 0.470)
Sb (0.420, 0.840, 0.530)

Calculated values
- symmetry = C2/m (12)
- N(E_F) (states/eV/cell) = 9.8

---

This record from the Alexandria database describes an optimized crystal structure of Dy4Bi2Sb. The functional is GGA-PBE.

abc: 8.072 8.072 8.072
angles: 109.71 109.00 109.71
Atoms (fractional coordinates):
Dy (0.116, 0.891, 0.370)
Dy (0.630, 0.747, 0.521)
Dy (0.975, 0.609, 0.729)
Dy (0.271, 0.247, 0.880)
Dy (0.634, 0.753, 0.025)
Dy (0.775, 0.253, 0.884)
Dy (0.479, 0.109, 0.225)
Dy (0.120, 0.391, 0.366)
Bi (0.875, 0.129, 0.504)
Bi (0.496, 0.371, 0.625)
Bi (0.375, 0.871, 0.746)
Bi (0.254, 0.629, 0.125)
Sb (0.000, 0.000, 0.000)
Sb (0.750, 0.500, 0.250)

Calculated values
- symmetry = I-42d (122)
- N(E_F) (states/eV/cell) = 15.2
- polymorph energy (0 for the lowest one) (meV/atom) = 0

---

This record from the Alexandria database describes an optimized crystal structure of Dy5Bi2Sb2. The functional is GGA-PBE.

abc: 8.236 8.172 8.778
angles: 117.74 90.00 90.00
Atoms (fractional coordinates):
Dy (0.000, 0.000, 0.000)
Dy (0.500, 0.500, 0.000)
Dy (0.841, 0.791, 0.265)
Dy (0.159, 0.474, 0.265)
Dy (0.341, 0.974, 0.265)
Dy (0.659, 0.291, 0.265)
Dy (0.159, 0.209, 0.735)
Dy (0.841, 0.526, 0.735)
Dy (0.659, 0.026, 0.735)
Dy (0.341, 0.709, 0.735)
Bi (0.000, 0.202, 0.403)
Bi (0.500, 0.702, 0.403)
Bi (0.000, 0.798, 0.597)
Bi (0.500, 0.298, 0.597)
Sb (0.643, 0.856, 0.000)
Sb (0.357, 0.144, 0.000)
Sb (0.143, 0.644, 0.000)
Sb (0.857, 0.356, 0.000)

Calculated values
- symmetry = Cmce (64)
- N(E_F) (states/eV/cell) = 18.5
- polymorph energy (0 for the lowest one) (meV/atom) = 0

---

This record from the Alexandria database describes an optimized crystal structure of Dy6Bi2Sb. The functional is GGA-PBE.

abc: 6.427 8.350 10.328
angles: 90.00 91.51 90.00
Atoms (fractional coordinates):
Dy (0.869, 0.967, 0.221)
Dy (0.868, 0.662, 0.552)
Dy (0.881, 0.696, 0.948)
Dy (0.619, 0.196, 0.552)
Dy (0.632, 0.162, 0.948)
Dy (0.631, 0.467, 0.279)
Dy (0.131, 0.033, 0.779)
Dy (0.132, 0.338, 0.448)
Dy (0.119, 0.304, 0.052)
Dy (0.381, 0.804, 0.448)
Dy (0.368, 0.838, 0.052)
Dy (0.369, 0.533, 0.721)
Bi (0.912, 0.382, 0.756)
Bi (0.588, 0.882, 0.744)
Bi (0.412, 0.118, 0.256)
Bi (0.088, 0.618, 0.244)
Sb (0.500, 0.500, 0.000)
Sb (0.000, 0.000, 0.500)

Calculated values
- symmetry = P2_1/c (14)
- N(E_F) (states/eV/cell) = 20.7

---

This record from the Alexandria database describes an optimized crystal structure of Dy6Bi5Sb. The functional is GGA-PBE.

abc: 7.726 7.726 7.718
angles: 99.59 99.59 120.00
Atoms (fractional coordinates):
Sb (0.000, 0.000, 0.000)
Bi (0.832, 0.168, 0.500)
Bi (0.666, 0.334, 0.000)
Bi (0.500, 0.500, 0.500)
Bi (0.334, 0.666, 0.000)
Bi (0.168, 0.832, 0.500)
Dy (0.412, 0.082, 0.247)
Dy (0.918, 0.588, 0.753)
Dy (0.246, 0.246, 0.751)
Dy (0.754, 0.754, 0.249)
Dy (0.082, 0.412, 0.247)
Dy (0.588, 0.918, 0.753)

Calculated values
- symmetry = C2/m (12)
- N(E_F) (states/eV/cell) = 2.2

---

Calculated uncorrected formation energy, -30.9; -26.1; -30.6; -13.0; -11.0; -16.6; -18.5; -12.0; -18.8; -20.5; -12.5; -20.8 kcal/mol of atoms (same order as the records).
Calculated total energy, -5.67; -4.88; -6.10; -4.97; -4.87; -5.08; -5.18; -4.88; -5.14; -5.23; -4.93; -5.17 eV/atom (same order as the records).
Calculated size of the total moment, 0.0; 0.0; 0.0; 0.0; 0.0; 0.0; 0.0; 0.0; 0.0; 0.0; 0.0; 0.0 μB/f.u. (same order as the records).